ZnW GGA-PBE relaxed; density = 13.5 Mg/m³; relative energy among the computed polymorphs = 72 meV per atom; ΔH_f (0 K) = 0.294 eV per atom; volume = 184 Å³/cell; energy = -6.818 eV/atom
1.0
-1.302 -0.851 -4.411
-0.115 -8.381 1.651
-4.422 0.306 1.246
Zn W
6 6
direct
0.957 0.337 0.000
0.020 0.653 0.000
0.520 0.513 0.000
0.361 0.339 0.500
0.861 0.828 0.500
0.457 0.829 0.000
0.876 0.167 0.500
0.376 0.999 0.500
0.352 0.664 0.500
0.934 0.010 0.000
0.852 0.502 0.500
0.434 0.157 0.000



LiYZrPd GGA-PBE relaxed; density = 6.4 Mg/m³; relative energy among the computed polymorphs = 131 meV per atom; volume = 77 Å³/cell; energy = -5.622 eV/atom
1.0
-3.293 -3.037 -1.638
-4.537 0.412 1.414
-3.325 1.514 -3.066
Li Pd Zr Y
1 1 1 1
direct
0.750 0.750 0.750
0.000 0.000 0.000
0.250 0.250 0.250
0.500 0.500 0.500



MgZrBIr GGA-PBE relaxed; density = 8.6 Mg/m³; relative energy among the computed polymorphs = 0 meV per atom; volume = 61 Å³/cell; energy = -6.464 eV/atom
1.0
0.000 3.128 3.128
3.128 0.000 3.128
3.128 3.128 0.000
Mg B Ir Zr
1 1 1 1
direct
0.750 0.750 0.750
0.000 0.000 0.000
0.500 0.500 0.500
0.250 0.250 0.250